Entry from Alexandria: a relaxed MgCr2Re crystal (PBE-GGA).

* N(E_F): 0.938 states/eV per atom
* DFT formation energy: 31 kJ/mol of atoms
* size of the total moment: 0.00 μB/cell
* SG: Pm (6)

Cell: 4.233 2.587 5.107 Å, 79.67 90.00 90.00°
Positions (direct):
Re  0.500  0.784  0.759
Mg  0.000  0.487  0.492
Cr  0.000  0.008  0.002
Cr  0.500  0.221  0.247



Entry from Alexandria: a relaxed MgCr2Re crystal (PBE-GGA).

* N(E_F): 0.523 states/eV per atom
* DFT formation energy: 84 kJ/mol of atoms
* size of the total moment: 5.92 μB/cell
* SG: I-42d (122)

Cell: 6.976 6.976 5.615 Å, 51.60 51.60 90.00°
Positions (direct):
Cr  0.668  0.125  0.250
Cr  0.082  0.625  0.250
Mg  0.500  0.500  0.000
Re  0.750  0.250  0.500
Mg  0.250  0.750  0.500
Cr  0.875  0.918  0.750
Cr  0.375  0.332  0.750
Re  0.000  0.000  0.000



Entry from Alexandria: a relaxed MgCr2Re crystal (PBE-GGA).

* N(E_F): 1.073 states/eV per atom
* DFT formation energy: 46 kJ/mol of atoms
* size of the total moment: 2.02 μB/cell
* SG: I-4m2 (119)

Cell: 4.997 4.997 4.997 Å, 137.42 137.42 61.79°
Positions (direct):
Re  0.750  0.250  0.500
Cr  0.000  0.000  0.000
Mg  0.500  0.500  0.000
Cr  0.250  0.750  0.500



Entry from Alexandria: a relaxed MgCr2Re crystal (PBE-GGA).

* N(E_F): 1.054 states/eV per atom
* DFT formation energy: 36 kJ/mol of atoms
* size of the total moment: 0.00 μB/cell
* SG: R3m (160)

Cell: 8.755 8.755 8.755 Å, 18.28 18.28 18.28°
Positions (direct):
Mg  0.502  0.502  0.502
Re  0.742  0.742  0.742
Cr  0.993  0.993  0.993
Cr  0.262  0.262  0.262